# 1
{
  "formula": "Fe2Pd7Pt",
  "functional": "GGA-PBE",
  "state": "relaxed",
  "m_tot_mub_per_cell": 9.17,
  "ef_ev_per_atom": 0.4691,
  "lattice_angstrom": [[3.5985, -6.3688, 0.0000], [3.5985, 6.3688, 0.0000], [0.0000, 0.0000, 4.0706]],
  "species": ["Fe", "Fe", "Pd", "Pd", "Pd", "Pd", "Pd", "Pd", "Pd", "Pt"],
  "fractional_positions": [[0.1935, 0.8065, 0.0000], [0.8065, 0.1935, 0.0000], [0.0000, 0.0000, 0.0000], [0.1991, 0.4241, 0.0000], [0.2895, 0.7105, 0.5000], [0.4241, 0.1991, 0.0000], [0.5759, 0.8009, 0.0000], [0.7105, 0.2895, 0.5000], [0.8009, 0.5759, 0.0000], [0.5000, 0.5000, 0.5000]]
}

---

# 2
{
  "formula": "PmPrRhBr",
  "functional": "GGA-PBE",
  "state": "relaxed",
  "m_tot_mub_per_cell": 0.00,
  "raw_formation_energy_mev_per_atom": -1060,
  "lattice_angstrom": [[2.0525, 1.1850, 7.9368], [-2.0525, 1.1850, 7.9368], [0.0000, -2.3700, 7.9368]],
  "species": ["Pm", "Pr", "Rh", "Br"],
  "fractional_positions": [[0.0000, 0.0000, 0.0000], [0.7965, 0.7965, 0.7965], [0.3969, 0.3969, 0.3969], [0.5680, 0.5680, 0.5680]]
}